# NpGa2Cl5

An optimized crystal structure of NpGa2Cl5 (GGA-PBE, the Alexandria database).

a = 12.5626 Å, b = 8.5532 Å, c = 8.0618 Å
α = 90.00°, β = 90.00°, γ = 90.00°
With the nearest neighbours (Å) after each atom.
Atoms (fractional coordinates):
Np  0.0019  0.2500  0.0731  7 Cl 2.77-2.85
Np  0.4981  0.7500  0.5731  7 Cl 2.77-2.85
Np  0.5019  0.2500  0.4269  7 Cl 2.77-2.85
Np  0.9981  0.7500  0.9269  7 Cl 2.77-2.85
Ga  0.1719  0.5060  0.5270  7 Cl 2.97-3.32
Ga  0.1719  0.9940  0.5270  7 Cl 2.97-3.32
Ga  0.3281  0.0060  0.0270  7 Cl 2.97-3.32
Ga  0.3281  0.4940  0.0270  7 Cl 2.97-3.32
Ga  0.6719  0.5060  0.9730  7 Cl 2.97-3.32
Ga  0.6719  0.9940  0.9730  7 Cl 2.97-3.32
Ga  0.8281  0.0060  0.4730  7 Cl 2.97-3.32
Ga  0.8281  0.4940  0.4730  7 Cl 2.97-3.32
Cl  0.0017  0.2500  0.4266  1 Np 2.85, 4 Ga 3.04-3.17
Cl  0.0818  0.5428  0.1653  2 Np 2.80-2.82
Cl  0.0818  0.9572  0.1653  2 Np 2.80-2.82
Cl  0.1867  0.2500  0.8844  1 Np 2.78, 2 Ga 2.97
Cl  0.2101  0.7500  0.8339  1 Np 2.77, 2 Ga 3.07
Cl  0.2899  0.2500  0.3339  1 Np 2.77, 2 Ga 3.07
Cl  0.3133  0.7500  0.3844  1 Np 2.78, 2 Ga 2.97
Cl  0.4182  0.0428  0.6653  2 Np 2.80-2.82
Cl  0.4182  0.4572  0.6653  2 Np 2.80-2.82
Cl  0.4983  0.7500  0.9266  1 Np 2.85, 4 Ga 3.04-3.17
Cl  0.5017  0.2500  0.0734  1 Np 2.85, 4 Ga 3.04-3.17
Cl  0.5818  0.5428  0.3347  2 Np 2.80-2.82
Cl  0.5818  0.9572  0.3347  2 Np 2.80-2.82
Cl  0.6867  0.2500  0.6156  1 Np 2.78, 2 Ga 2.97
Cl  0.7101  0.7500  0.6661  1 Np 2.77, 2 Ga 3.07
Cl  0.7899  0.2500  0.1661  1 Np 2.77, 2 Ga 3.07
Cl  0.8133  0.7500  0.1156  1 Np 2.78, 2 Ga 2.97
Cl  0.9182  0.0428  0.8347  2 Np 2.80-2.82
Cl  0.9182  0.4572  0.8347  2 Np 2.80-2.82
Cl  0.9983  0.7500  0.5734  1 Np 2.85, 4 Ga 3.04-3.17

Values from the calculation:
As for the uncorrected energy: -4.743 eV per atom. The calculation puts the density at 4.25 Mg/m³.